(1)
First-principles (PBE) data for crystalline Be2Hg at its relaxed geometry, as listed in the Alexandria database.

- DOS(E_F): 0.234 states/eV per atom
- Space-group type: P-62m
- Formation energy: 0.6139 eV per atom
- Energy above the most stable polymorph in this dataset: 351 meV/atom

Lattice parameters (Å, degrees): 6.068 6.068 3.927 90.00 90.00 120.00
Positions (direct):
Be 0.000 0.223 0.000
Be 0.000 0.570 0.500
Be 0.223 0.000 0.000
Be 0.430 0.430 0.500
Be 0.570 0.000 0.500
Be 0.777 0.777 0.000
Hg 0.000 0.000 0.500
Hg 0.333 0.667 0.000
Hg 0.667 0.333 0.000

(2)
First-principles (PBE) data for crystalline AgIr3 at its relaxed geometry, as listed in the Alexandria database.

- DOS(E_F): 1.373 states/eV per atom
- Space-group type: Pm-3n
- Formation energy: 0.7870 eV per atom

Lattice parameters (Å, degrees): 5.012 5.012 5.012 90.00 90.00 90.00
Positions (direct):
Ag 0.000 0.000 0.000
Ag 0.500 0.500 0.500
Ir 0.000 0.250 0.500
Ir 0.000 0.750 0.500
Ir 0.250 0.500 0.000
Ir 0.500 0.000 0.250
Ir 0.500 0.000 0.750
Ir 0.750 0.500 0.000

(3)
First-principles (PBE) data for crystalline LiPa3S2O6 at its relaxed geometry, as listed in the Alexandria database.

- DOS(E_F): 0.000 states/eV per atom
- Space-group type: C2/m
- Formation energy without anion corrections: -2.90 eV/atom

Lattice parameters (Å, degrees): 6.940 6.940 5.792 102.43 102.43 65.25
Positions (direct):
Li 0.000 0.000 0.000
Pa 0.000 0.500 0.000
Pa 0.500 0.000 0.000
Pa 0.500 0.500 0.500
S 0.310 0.310 0.701
S 0.690 0.690 0.299
O 0.172 0.172 0.079
O 0.213 0.610 0.253
O 0.390 0.787 0.747
O 0.610 0.213 0.253
O 0.787 0.390 0.747
O 0.828 0.828 0.921

(4)
First-principles (PBE) data for crystalline Sr2MgCd3Ag12 at its relaxed geometry, as listed in the Alexandria database.

- DOS(E_F): 0.305 states/eV per atom
- Space-group type: R-3m
- Formation energy: -0.0210 eV per atom

Lattice parameters (Å, degrees): 7.371 7.371 7.371 83.83 83.83 83.83
Positions (direct):
Sr 0.207 0.207 0.207
Sr 0.793 0.793 0.793
Mg 0.500 0.500 0.500
Cd 0.000 0.500 0.500
Cd 0.500 0.000 0.500
Cd 0.500 0.500 0.000
Ag 0.082 0.082 0.637
Ag 0.082 0.637 0.082
Ag 0.226 0.696 0.696
Ag 0.304 0.304 0.774
Ag 0.304 0.774 0.304
Ag 0.363 0.918 0.918
Ag 0.637 0.082 0.082
Ag 0.696 0.226 0.696
Ag 0.696 0.696 0.226
Ag 0.774 0.304 0.304
Ag 0.918 0.363 0.918
Ag 0.918 0.918 0.363

(5)
First-principles (PBE) data for crystalline In2Si2Ag at its relaxed geometry, as listed in the Alexandria database.

- DOS(E_F): 0.475 states/eV per atom
- Space-group type: P4/mbm
- Formation energy without anion corrections: 0.28 eV/atom
- Energy above the most stable polymorph in this dataset: 67 meV/atom

Lattice parameters (Å, degrees): 6.833 6.833 4.487 90.00 90.00 90.00
Positions (direct):
In 0.186 0.314 0.000
In 0.314 0.814 0.000
In 0.686 0.186 0.000
In 0.814 0.686 0.000
Si 0.124 0.624 0.500
Si 0.376 0.124 0.500
Si 0.624 0.876 0.500
Si 0.876 0.376 0.500
Ag 0.000 0.000 0.500
Ag 0.500 0.500 0.500

(6)
First-principles (PBE) data for crystalline FeHIr2 at its relaxed geometry, as listed in the Alexandria database.

- DOS(E_F): 0.547 states/eV per atom
- Space-group type: Fm-3m
- Energy above the most stable polymorph in this dataset: 240 meV/atom

Lattice parameters (Å, degrees): 4.050 4.050 4.050 60.00 60.00 60.00
Positions (direct):
Fe 0.000 0.000 0.000
H 0.500 0.500 0.500
Ir 0.250 0.250 0.250
Ir 0.750 0.750 0.750

(7)
First-principles (PBE) data for crystalline K2CdTeSe4 at its relaxed geometry, as listed in the Alexandria database.

- DOS(E_F): 0.177 states/eV per atom
- Space-group type: Imma
- Formation energy without anion corrections: -0.60 eV/atom

Lattice parameters (Å, degrees): 8.708 8.708 8.708 121.42 119.34 89.35
Positions (direct):
K 0.000 0.000 0.000
K 0.500 0.000 0.000
K 0.500 0.000 0.500
K 0.500 0.500 0.500
Cd 0.000 0.500 0.500
Cd 0.500 0.500 0.000
Te 0.000 0.000 0.500
Te 0.000 0.500 0.000
Se 0.209 0.741 0.468
Se 0.228 0.259 0.968
Se 0.231 0.261 0.529
Se 0.231 0.702 0.971
Se 0.769 0.298 0.029
Se 0.769 0.739 0.471
Se 0.772 0.741 0.032
Se 0.791 0.259 0.532

(8)
First-principles (PBE) data for crystalline La8NiRh3I4 at its relaxed geometry, as listed in the Alexandria database.

- DOS(E_F): 0.399 states/eV per atom
- Space-group type: C2/m
- Formation energy without anion corrections: -0.98 eV/atom

Lattice parameters (Å, degrees): 8.461 8.461 9.613 116.07 116.07 60.10
Positions (direct):
La 0.227 0.227 0.684
La 0.227 0.729 0.685
La 0.271 0.271 0.312
La 0.271 0.773 0.315
La 0.729 0.227 0.685
La 0.729 0.729 0.688
La 0.773 0.271 0.315
La 0.773 0.773 0.316
Ni 0.000 0.000 0.500
Rh 0.000 0.500 0.500
Rh 0.500 0.000 0.500
Rh 0.500 0.500 0.500
I 0.000 0.000 0.000
I 0.000 0.500 0.000
I 0.500 0.000 0.000
I 0.500 0.500 0.000

(9)
First-principles (PBE) data for crystalline Tb6NdSmDy2 at its relaxed geometry, as listed in the Alexandria database.

- DOS(E_F): 1.499 states/eV per atom
- Space-group type: C2/c
- Formation energy: 0.1223 eV per atom

Lattice parameters (Å, degrees): 8.816 8.816 9.633 93.97 93.97 117.69
Positions (direct):
Tb 0.023 0.570 0.182
Tb 0.119 0.751 0.556
Tb 0.249 0.881 0.944
Tb 0.293 0.508 0.380
Tb 0.430 0.977 0.318
Tb 0.492 0.707 0.120
Tb 0.508 0.293 0.880
Tb 0.570 0.023 0.682
Tb 0.707 0.492 0.620
Tb 0.751 0.119 0.056
Tb 0.881 0.249 0.444
Tb 0.977 0.430 0.818
Nd 0.407 0.593 0.750
Nd 0.593 0.407 0.250
Sm 0.026 0.974 0.250
Sm 0.974 0.026 0.750
Dy 0.195 0.297 0.045
Dy 0.297 0.195 0.545
Dy 0.703 0.805 0.455
Dy 0.805 0.703 0.955

(10)
First-principles (PBE) data for crystalline Cd2IBr at its relaxed geometry, as listed in the Alexandria database.

- DOS(E_F): 0.720 states/eV per atom
- Space-group type: Fm-3m
- Formation energy without anion corrections: -0.14 eV/atom
- Energy above the most stable polymorph in this dataset: 14 meV/atom

Lattice parameters (Å, degrees): 5.456 5.456 5.456 60.00 60.00 60.00
Positions (direct):
Cd 0.250 0.250 0.250
Cd 0.750 0.750 0.750
I 0.000 0.000 0.000
Br 0.500 0.500 0.500

(11)
First-principles (PBE) data for crystalline CaFeRe at its relaxed geometry, as listed in the Alexandria database.

- DOS(E_F): 1.260 states/eV per atom
- Space-group type: I4mm
- Formation energy: 0.4326 eV per atom
- Energy above the most stable polymorph in this dataset: 0 meV/atom

Lattice parameters (Å, degrees): 6.230 6.230 6.230 151.77 151.77 40.35
Positions (direct):
Ca 0.000 0.000 0.000
Fe 0.702 0.702 0.000
Re 0.293 0.293 0.000

(12)
First-principles (PBE) data for crystalline NaLuHgPb at its relaxed geometry, as listed in the Alexandria database.

- DOS(E_F): 0.253 states/eV per atom
- Space-group type: F-43m
- Formation energy: -0.3211 eV per atom

Lattice parameters (Å, degrees): 5.264 5.264 5.264 60.00 60.00 60.00
Positions (direct):
Na 0.000 0.000 0.000
Lu 0.500 0.500 0.500
Hg 0.750 0.750 0.750
Pb 0.250 0.250 0.250

(13)
First-principles (PBE) data for crystalline Bi2PtPb2 at its relaxed geometry, as listed in the Alexandria database.

- DOS(E_F): 0.545 states/eV per atom
- Space-group type: P4/mbm
- Formation energy: 0.0532 eV per atom
- Energy above the most stable polymorph in this dataset: 152 meV/atom

Lattice parameters (Å, degrees): 7.324 7.324 5.595 90.00 90.00 90.00
Positions (direct):
Bi 0.152 0.348 0.000
Bi 0.348 0.848 0.000
Bi 0.652 0.152 0.000
Bi 0.848 0.652 0.000
Pt 0.000 0.000 0.000
Pt 0.500 0.500 0.000
Pb 0.172 0.672 0.500
Pb 0.328 0.172 0.500
Pb 0.672 0.828 0.500
Pb 0.828 0.328 0.500